Here is crystalline SrSm2TiN4 at its relaxed geometry from the Alexandria database. Energies are from PBE.

abc: 3.5498 6.3663 12.1674
angles: 90.00 90.00 106.19
Sites, in units of the cell vectors:
Sm 0.3705 0.7409 0.5384
Sm 0.6295 0.2591 0.0384
Sm 0.3705 0.7409 0.9616
Sm 0.6295 0.2591 0.4616
N 0.7409 0.4818 0.8755
N 0.7409 0.4818 0.6245
N 0.0000 0.0000 0.0000
N 0.2591 0.5182 0.3755
N 0.4117 0.8234 0.7500
N 0.5883 0.1766 0.2500
N 0.2591 0.5182 0.1245
N 0.0000 0.0000 0.5000
Ti 0.8310 0.6620 0.7500
Ti 0.1690 0.3380 0.2500
Sr 0.1024 0.2049 0.7500
Sr 0.8976 0.7951 0.2500

Properties
- ΔE_f (raw) (meV per atom) = -1351
- total magnetization (Bohr magnetons per cell) = 0.00
- V (Å³/atom) = 16.50

***

Here is crystalline Sr3Sm2UN6 at its relaxed geometry from the Alexandria database. Energies are from PBE.

abc: 6.2520 6.2520 6.3871
angles: 99.42 99.42 119.99
Sites, in units of the cell vectors:
Sr 0.5000 0.5000 0.5000
Sr 0.1660 0.8340 0.5000
Sr 0.8340 0.1660 0.5000
N 0.0689 0.3709 0.2075
N 0.2321 0.2321 0.7948
N 0.9311 0.6291 0.7925
N 0.6291 0.9311 0.7925
N 0.3709 0.0689 0.2075
N 0.7679 0.7679 0.2052
Sm 0.3333 0.6667 0.0000
Sm 0.6667 0.3333 0.0000
U 0.0000 0.0000 0.0000

Properties
- ΔE_f (raw) (meV per atom) = -1235
- total magnetization (Bohr magnetons per cell) = 0.00
- V (Å³/atom) = 17.03

***

Here is crystalline SrSmUN3 at its relaxed geometry from the Alexandria database. Energies are from PBE.

abc: 3.4575 6.6218 9.8102
angles: 105.70 90.00 90.00
Each line ends with the local moment (μB).
Sites, in units of the cell vectors:
U 0.2500 0.6709 0.0657  1.25
U 0.7500 0.3291 0.9343  1.25
Sm 0.2500 0.2039 0.6121  0.03
Sm 0.7500 0.7961 0.3879  0.03
N 0.7500 0.4626 0.1639  -0.05
N 0.7500 0.8805 0.1314  -0.05
N 0.2500 0.1195 0.8686  -0.05
N 0.7500 0.1773 0.4583  0.00
N 0.2500 0.5374 0.8361  -0.05
N 0.2500 0.8227 0.5417  0.00
Sr 0.7500 0.7812 0.7466  0.00
Sr 0.2500 0.2188 0.2534  0.00

Properties
- ΔE_f (raw) (meV per atom) = -1023
- total magnetization (Bohr magnetons per cell) = 2.54
- V (Å³/atom) = 18.02